# GGA-PBE V2InGe, relaxed
# N(E_F): 20.1 states/eV per cell
# E_tot: -5.8724 eV per atom
# Calculated formation energy: 526 meV per atom
# V: 283 Å³ per cell
data_V2InGe
_chemical_formula_sum 'V8 In4 Ge4'
_symmetry_space_group_name_H-M 'I -4 2 d'
_symmetry_Int_Tables_number 122
_symmetry_space_group_name_Hall 'I -4 2bw'
_cell_length_a 3.857
_cell_length_b 3.857
_cell_length_c 19.024
_cell_angle_alpha 90.00
_cell_angle_beta 90.00
_cell_angle_gamma 90.00
loop_
_atom_site_label
_atom_site_fract_x
_atom_site_fract_y
_atom_site_fract_z
_atom_site_occupancy
V1 0.216 0.250 0.125 1
In1 0.000 0.000 0.500 1
Ge1 0.000 0.000 0.000 1

***

# GGA-PBE VInGe3, relaxed
# N(E_F): 2.9 states/eV per cell
# E_tot: -4.9666 eV per atom
# Calculated formation energy: 175 meV per atom
# V: 112 Å³ per cell
data_VInGe3
_chemical_formula_sum 'V1 In1 Ge3'
_symmetry_space_group_name_H-M 'P m -3 m'
_symmetry_Int_Tables_number 221
_symmetry_space_group_name_Hall '-P 4 2 3'
_cell_length_a 4.822
_cell_length_b 4.822
_cell_length_c 4.822
_cell_angle_alpha 90.00
_cell_angle_beta 90.00
_cell_angle_gamma 90.00
loop_
_atom_site_label
_atom_site_fract_x
_atom_site_fract_y
_atom_site_fract_z
_atom_site_occupancy
V1 0.000 0.000 0.000 1
In1 0.500 0.500 0.500 1
Ge1 0.000 0.000 0.500 1

***

# GGA-PBE VInGe2, relaxed
# N(E_F): 6.9 states/eV per cell
# E_tot: -5.2076 eV per atom
# Calculated formation energy: 65 meV per atom
# V: 223 Å³ per cell
data_VInGe2
_chemical_formula_sum 'V3 In3 Ge6'
_symmetry_space_group_name_H-M 'R -3 m'
_symmetry_Int_Tables_number 166
_symmetry_space_group_name_Hall '-R 3 2"'
_cell_length_a 2.9673
_cell_length_b 2.9673
_cell_length_c 29.2059
_cell_angle_alpha 90.00
_cell_angle_beta 90.00
_cell_angle_gamma 120.00
loop_
_atom_site_label
_atom_site_fract_x
_atom_site_fract_y
_atom_site_fract_z
_atom_site_occupancy
V1 0.0000 0.0000 0.0000 1
In1 0.0000 0.0000 0.5000 1
Ge1 0.0000 0.0000 0.4018 1

***

# GGA-PBE V2In2Ge, relaxed
# N(E_F): 7.6 states/eV per cell
# E_tot: -5.6253 eV per atom
# Calculated formation energy: 41 meV per atom
# V: 181 Å³ per cell
data_V2In2Ge
_chemical_formula_sum 'V4 In4 Ge2'
_symmetry_space_group_name_H-M 'P 4/m b m'
_symmetry_Int_Tables_number 127
_symmetry_space_group_name_Hall '-P 4 2ab'
_cell_length_a 6.394
_cell_length_b 6.394
_cell_length_c 4.438
_cell_angle_alpha 90.00
_cell_angle_beta 90.00
_cell_angle_gamma 90.00
loop_
_atom_site_label
_atom_site_fract_x
_atom_site_fract_y
_atom_site_fract_z
_atom_site_occupancy
V1 0.139 0.361 0.000 1
In1 0.165 0.665 0.500 1
Ge1 0.000 0.000 0.000 1